Entry 1:
TaMoOs2: relaxed, PBE.

abc: 2.8724 3.8481 5.7072
angles: 90.00 90.00 90.00
With the nearest neighbours (Å) after each atom.
Atoms (fractional coordinates):
Ta 0.0000 0.0000 0.0000  6 Os 2.76-2.89, 2 Ta 2.87, 4 Mo 2.90
Mo 0.5000 0.5000 0.2852  6 Os 2.71-2.99, 2 Mo 2.87, 4 Ta 2.90
Os 0.0000 0.0000 0.5057  4 Mo 2.71, 6 Os 2.81-2.87, 2 Ta 2.82-2.89
Os 0.5000 0.5000 0.7620  2 Mo 2.72-2.99, 4 Ta 2.76, 6 Os 2.81-2.87

---

Entry 2:
TmZnCd: relaxed, PBE.

abc: 4.7075 4.7075 3.4027
angles: 90.00 90.00 120.00
With the nearest neighbours (Å) after each atom.
Atoms (fractional coordinates):
Tm 0.0000 0.0000 0.0000  6 Cd 3.21, 6 Zn 3.21, 2 Tm 3.40
Zn 0.6667 0.3333 0.5000  3 Cd 2.72
Cd 0.3333 0.6667 0.5000  3 Zn 2.72

---

Entry 3:
Na2CaMg2: relaxed, PBE.

abc: 9.1553 9.1553 3.8168
angles: 90.00 90.00 90.00
With the nearest neighbours (Å) after each atom.
Atoms (fractional coordinates):
Na 0.1727 0.3273 0.0000  6 Mg 3.27-3.34
Na 0.3273 0.8273 0.0000  6 Mg 3.27-3.34
Na 0.6727 0.1727 0.0000  6 Mg 3.27-3.34
Na 0.8273 0.6727 0.0000  6 Mg 3.27-3.34
Ca 0.0000 0.0000 0.5000  4 Mg 3.63, 2 Ca 3.82, 8 Na 3.89
Ca 0.5000 0.5000 0.5000  4 Mg 3.63, 2 Ca 3.82, 8 Na 3.89
Mg 0.1223 0.6223 0.5000  1 Mg 3.17, 6 Na 3.27-3.34
Mg 0.3777 0.1223 0.5000  1 Mg 3.17, 6 Na 3.27-3.34
Mg 0.6223 0.8777 0.5000  1 Mg 3.17, 6 Na 3.27-3.34
Mg 0.8777 0.3777 0.5000  1 Mg 3.17, 6 Na 3.27-3.34

---

Total moment (computed, μB per formula unit): 0.0; 0.0; 0.0
Energy relative to the elements (computed, eV/atom): 0.0763; -0.3026; 0.1263